1.
{"formula": "LaCe2Sn3", "functional": "GGA-PBE", "state": "relaxed", "m_tot_mub_per_atom": 0.0002, "final_energy_ev_per_atom": -5.2984, "e_form_ev_per_atom": -0.4978, "e_above_lowest_polymorph_mev_per_atom": 139, "lattice": [[-0.291, 4.523, 0.443], [-0.742, 0.574, -6.349], [-6.212, -3.053, 3.694]], "species": ["Sn", "Sn", "Sn", "La", "Ce", "Ce"], "fractional_positions": [[0.323, 0.323, 0.647], [0.000, 0.000, 0.000], [0.677, 0.677, 0.353], [0.000, 0.500, 0.000], [0.664, 0.164, 0.327], [0.336, 0.836, 0.673]]}



2.
{"formula": "CaTlNi2", "functional": "GGA-PBE", "state": "relaxed", "m_tot_mub_per_atom": 0.0000, "final_energy_ev_per_atom": -3.8904, "e_form_ev_per_atom": 0.0923, "lattice": [[-0.328, -0.092, -4.483], [3.943, -2.145, -0.244], [-1.685, -3.117, 0.187]], "species": ["Ca", "Tl", "Ni", "Ni"], "fractional_positions": [[0.000, 0.500, 0.500], [0.500, 0.000, 0.500], [0.500, 0.500, 0.000], [0.000, 0.000, 0.000]]}



3.
{"formula": "Cs3CuP", "functional": "GGA-PBE", "state": "relaxed", "m_tot_mub_per_atom": 0.0000, "final_energy_ev_per_atom": -2.4394, "e_form_ev_per_atom": -0.0261, "e_above_lowest_polymorph_mev_per_atom": 0, "lattice": [[4.855, 0.000, 0.000], [0.000, 14.396, 0.000], [0.000, -7.198, 8.006]], "species": ["Cs", "Cs", "Cs", "Cs", "Cs", "Cs", "P", "P", "Cu", "Cu"], "fractional_positions": [[0.257, 0.458, 0.254], [0.757, 0.542, 0.746], [0.757, 0.205, 0.746], [0.259, 0.840, 0.679], [0.759, 0.160, 0.321], [0.257, 0.795, 0.254], [0.758, 0.679, 0.358], [0.258, 0.321, 0.642], [0.753, 0.542, 0.085], [0.253, 0.458, 0.915]]}



4.
{"formula": "CdAs2O4", "functional": "GGA-PBE", "state": "relaxed", "m_tot_mub_per_atom": 0.0000, "final_energy_ev_per_atom": -5.4387, "formation_energy_uncorrected_ev_per_atom": -1.15, "lattice": [[5.956, 0.000, 0.000], [0.000, 9.077, 0.000], [0.000, 0.000, 9.077]], "species": ["O", "O", "O", "O", "O", "O", "O", "O", "O", "O", "O", "O", "O", "O", "O", "O", "As", "As", "As", "As", "As", "As", "As", "As", "Cd", "Cd", "Cd", "Cd"], "fractional_positions": [[0.750, 0.811, 0.311], [0.000, 0.345, 0.891], [0.250, 0.311, 0.189], [0.000, 0.155, 0.391], [0.500, 0.609, 0.155], [0.250, 0.689, 0.811], [0.500, 0.891, 0.655], [0.000, 0.655, 0.109], [0.750, 0.689, 0.811], [0.500, 0.109, 0.345], [0.750, 0.311, 0.189], [0.000, 0.845, 0.609], [0.500, 0.391, 0.845], [0.250, 0.811, 0.311], [0.750, 0.189, 0.689], [0.250, 0.189, 0.689], [0.000, 0.680, 0.302], [0.000, 0.820, 0.802], [0.500, 0.198, 0.820], [0.500, 0.302, 0.320], [0.500, 0.698, 0.680], [0.500, 0.802, 0.180], [0.000, 0.320, 0.698], [0.000, 0.180, 0.198], [0.250, 0.000, 0.500], [0.250, 0.500, 0.000], [0.750, 0.500, 0.000], [0.750, 0.000, 0.500]]}



5.
{"formula": "Ce3GaSe", "functional": "GGA-PBE", "state": "relaxed", "m_tot_mub_per_atom": 0.2268, "final_energy_ev_per_atom": -5.5416, "formation_energy_uncorrected_ev_per_atom": -0.68, "lattice": [[-0.193, 2.945, -3.121], [-7.591, -1.612, 1.904], [5.145, 7.611, 3.906]], "species": ["Se", "Se", "Ce", "Ce", "Ce", "Ce", "Ce", "Ce", "Ga", "Ga"], "fractional_positions": [[0.743, 0.687, 0.201], [0.257, 0.313, 0.799], [0.064, 0.948, 0.820], [0.380, 0.771, 0.010], [0.620, 0.229, 0.990], [0.936, 0.052, 0.180], [0.872, 0.350, 0.607], [0.128, 0.650, 0.393], [0.513, 0.666, 0.640], [0.487, 0.334, 0.360]]}



6.
{"formula": "NdYTc", "functional": "GGA-PBE", "state": "relaxed", "m_tot_mub_per_atom": 0.0000, "final_energy_ev_per_atom": -7.1411, "e_form_ev_per_atom": 0.0582, "e_above_lowest_polymorph_mev_per_atom": 0, "lattice": [[3.514, 0.000, 0.000], [0.000, 3.514, 0.000], [-1.757, -1.757, 6.443]], "species": ["Y", "Tc", "Nd"], "fractional_positions": [[0.039, 0.039, 0.078], [0.664, 0.664, 0.329], [0.297, 0.297, 0.593]]}